[1]
VASP calculation (PBE) on crystalline Ba2GeP at its relaxed geometry.

abc: 4.7694 7.8906 7.3680
angles: 90.00 108.88 90.00
Positions (direct):
Ge: 0.2890 0.3184 0.5779
Ba: 0.7418 0.0000 0.4835
Ge: 0.2890 0.6816 0.5779
P: 0.1204 0.7698 0.2407
P: 0.1204 0.2302 0.2407
Ba: 0.6486 0.5000 0.2972
Ba: 0.4942 0.0000 0.9884
Ba: 0.9328 0.5000 0.8657

Calculated values
Energy above the lowest structure with this stoichiometry (eV/atom): 0.000
E_form (eV per atom): -0.69

***

[2]
VASP calculation (PBE) on crystalline PrPaAsC at its relaxed geometry.

abc: 4.0667 4.0667 13.8488
angles: 81.56 81.56 60.00
Positions (direct):
C: 0.6885 0.6885 0.9344
As: 0.9167 0.9167 0.2500
Pa: 0.3678 0.3678 0.8967
Pr: 0.7908 0.7908 0.6276
C: 0.3115 0.3115 0.0656
Pa: 0.6322 0.6322 0.1033
As: 0.0833 0.0833 0.7500
Pr: 0.2092 0.2092 0.3724

Calculated values
E_form (eV per atom): -0.62

***

[3]
VASP calculation (PBE) on crystalline MgAgHgPb at its relaxed geometry.

abc: 5.0723 5.0723 5.0723
angles: 60.00 60.00 60.00
Positions (direct):
Hg: 0.0000 0.0000 0.0000
Pb: 0.5000 0.5000 0.5000
Mg: 0.7500 0.7500 0.7500
Ag: 0.2500 0.2500 0.2500

Calculated values
E_form (eV per atom): 0.01

***

[4]
VASP calculation (PBE) on crystalline BaLi2Cd4Hg at its relaxed geometry.

abc: 4.8232 4.8232 10.7832
angles: 77.08 77.08 60.00
Positions (direct):
Cd: 0.4053 0.4053 0.7840
Hg: 0.5000 0.5000 0.5000
Cd: 0.8745 0.8745 0.3765
Cd: 0.5947 0.5947 0.2160
Li: 0.2248 0.2248 0.3256
Cd: 0.1255 0.1255 0.6235
Li: 0.7752 0.7752 0.6744
Ba: 0.0000 0.0000 0.0000

Calculated values
E_form (eV per atom): -0.21

***

[5]
VASP calculation (PBE) on crystalline Ac5Al6 at its relaxed geometry.

abc: 4.7816 4.4615 16.2411
angles: 97.89 90.00 90.00
Positions (direct):
Ac: 0.0000 0.3845 0.7691
Ac: 0.0000 0.6155 0.2309
Al: 0.5000 0.0844 0.1688
Al: 0.5000 0.4596 0.9192
Al: 0.5000 0.9156 0.8312
Al: 0.0000 0.7262 0.4525
Ac: 0.5000 0.1958 0.3915
Al: 0.0000 0.2738 0.5475
Ac: 0.0000 0.0000 0.0000
Al: 0.5000 0.5404 0.0808
Ac: 0.5000 0.8042 0.6085

Calculated values
E_form (eV per atom): -0.33

***

[6]
VASP calculation (PBE) on crystalline CoTeMo2 at its relaxed geometry.

abc: 4.1545 3.0079 5.2779
angles: 75.94 90.00 90.00
Last column: magnetic moment on the atom in μB.
Positions (direct):
Te: 0.0000 0.6733 0.5069  -0.01
Mo: 0.0000 0.9859 0.9816  -0.02
Co: 0.5000 0.5778 0.7625  0.47
Mo: 0.5000 0.2630 0.2490  -0.01

Calculated values
Raw formation energy (kJ/mol of formula units): 159

***

no.,raw total energy (eV per cell)
1,-33.28
2,-61.24
3,-8.43
4,-11.36
5,-46.58
6,-30.26